(1)
Material: BaRePS2
Method: DFT, PBEsol
State: relaxed

Cell and atoms, written as POSCAR:
```
BaRePS2
1.0
5.491 0.000 0.000
0.000 5.491 0.000
0.000 0.000 5.637
Ba Re P S
1 1 1 2
Cartesian
0.000 0.000 0.000
2.746 2.746 2.818
0.000 0.000 2.818
0.000 2.746 0.000
2.746 0.000 0.000
```

E_form (uncorrected) (eV per formula unit): 10.2
DOS at the Fermi energy (states/eV per cell): 5.07

***

(2)
Material: BaPRh2
Method: DFT, PBEsol
State: relaxed

Cell and atoms, written as POSCAR:
```
BaPRh2
1.0
3.987 0.000 0.000
0.000 3.987 0.000
0.000 0.000 5.418
Ba P Rh
1 1 2
Cartesian
0.000 0.000 0.000
1.993 1.993 1.769
0.000 1.993 2.804
1.993 0.000 2.804
```

DOS at the Fermi energy (states/eV per cell): 2.47

***

(3)
Material: Ba2P2Rh
Method: DFT, PBEsol
State: relaxed

Cell and atoms, written as POSCAR:
```
Ba2P2Rh
1.0
-3.151 3.151 3.335
3.151 -3.151 3.335
3.151 3.151 -3.335
Ba P Rh
2 2 1
Cartesian
3.151 0.000 1.668
0.000 3.151 1.668
0.000 0.000 1.100
0.000 0.000 5.571
0.000 0.000 3.335
```

DOS at the Fermi energy (states/eV per cell): 3.79

***

VASP energy per entry: -3.97, -6.66, -5.22 eV/atom